(1)
MgMoN2F: relaxed, PBE with a Hubbard U.

CIF file:
```
data_MgMoN2F
_chemical_formula_sum 'Mg1 Mo1 N2 F1'
_space_group_name_H-M_alt 'P 1'
_space_group_IT_number 1
_space_group_name_Hall 'P 1'
_cell_length_a 4.016
_cell_length_b 4.016
_cell_length_c 4.086
_cell_angle_alpha 90.00
_cell_angle_beta 90.00
_cell_angle_gamma 90.00
loop_
_atom_site_label
_atom_site_type_symbol
_atom_site_fract_x
_atom_site_fract_y
_atom_site_fract_z
_atom_site_occupancy
Mg1 Mg 0.000 0.000 0.000 1
Mo1 Mo 0.500 0.500 0.500 1
N1 N 0.000 0.500 0.500 1
N2 N 0.500 0.000 0.500 1
F1 F 0.500 0.500 0.000 1
```

Summary:
The energy above the lowest structure with this stoichiometry comes out at 0.00 kJ/mol of atoms. The magnetization comes out at 0.950 μB per cell. Its density of states at the Fermi level is 0.1732 states/eV/atom.

---

(2)
Na2MgMoF6: relaxed, PBE with a Hubbard U.

CIF file:
```
data_Na2MgMoF6
_chemical_formula_sum 'Na4 Mg2 Mo2 F12'
_space_group_name_H-M_alt 'P 1'
_space_group_IT_number 1
_space_group_name_Hall 'P 1'
_cell_length_a 6.273
_cell_length_b 8.256
_cell_length_c 5.563
_cell_angle_alpha 90.00
_cell_angle_beta 90.00
_cell_angle_gamma 90.00
loop_
_atom_site_label
_atom_site_type_symbol
_atom_site_fract_x
_atom_site_fract_y
_atom_site_fract_z
_atom_site_occupancy
Na1 Na 0.250 0.053 0.243 1
Na2 Na 0.250 0.447 0.243 1
Na3 Na 0.750 0.553 0.757 1
Na4 Na 0.750 0.947 0.757 1
Mg1 Mg 0.250 0.250 0.747 1
Mg2 Mg 0.750 0.750 0.253 1
Mo1 Mo 0.250 0.750 0.752 1
Mo2 Mo 0.750 0.250 0.248 1
F1 F 0.036 0.250 0.010 1
F2 F 0.038 0.250 0.484 1
F3 F 0.250 0.009 0.753 1
F4 F 0.250 0.491 0.753 1
F5 F 0.462 0.250 0.484 1
F6 F 0.464 0.250 0.010 1
F7 F 0.536 0.750 0.990 1
F8 F 0.538 0.750 0.516 1
F9 F 0.750 0.509 0.247 1
F10 F 0.750 0.991 0.247 1
F11 F 0.962 0.750 0.516 1
F12 F 0.964 0.750 0.990 1
```

Summary:
The magnetization comes out at 4.000 μB per cell. The electronic total energy is -4.87 eV per atom.

---

(3)
NaMgMoF6: relaxed, PBE with a Hubbard U.

CIF file:
```
data_NaMgMoF6
_chemical_formula_sum 'Na2 Mg2 Mo2 F12'
_space_group_name_H-M_alt 'P 1'
_space_group_IT_number 1
_space_group_name_Hall 'P 1'
_cell_length_a 5.492
_cell_length_b 5.492
_cell_length_c 9.658
_cell_angle_alpha 90.00
_cell_angle_beta 90.00
_cell_angle_gamma 120.00
loop_
_atom_site_label
_atom_site_type_symbol
_atom_site_fract_x
_atom_site_fract_y
_atom_site_fract_z
_atom_site_occupancy
Na1 Na 0.000 0.000 0.000 1
Na2 Na 0.000 0.000 0.500 1
Mg1 Mg 0.333 0.667 0.250 1
Mg2 Mg 0.667 0.333 0.750 1
Mo1 Mo 0.333 0.667 0.750 1
Mo2 Mo 0.667 0.333 0.250 1
F1 F 0.011 0.361 0.140 1
F2 F 0.011 0.650 0.360 1
F3 F 0.350 0.361 0.360 1
F4 F 0.350 0.989 0.140 1
F5 F 0.361 0.011 0.640 1
F6 F 0.361 0.350 0.860 1
F7 F 0.639 0.650 0.140 1
F8 F 0.639 0.989 0.360 1
F9 F 0.650 0.011 0.860 1
F10 F 0.650 0.639 0.640 1
F11 F 0.989 0.350 0.640 1
F12 F 0.989 0.639 0.860 1
```

Summary:
The magnetization comes out at 6.000 μB per cell. Its density of states at the Fermi level is 0.0000 states/eV/atom. The electronic total energy is -5.31 eV per atom.

---

(4)
MgMoPbF6: relaxed, PBE with a Hubbard U.

CIF file:
```
data_MgMoPbF6
_chemical_formula_sum 'Mg2 Mo2 Pb2 F12'
_space_group_name_H-M_alt 'P 1'
_space_group_IT_number 1
_space_group_name_Hall 'P 1'
_cell_length_a 5.646
_cell_length_b 5.646
_cell_length_c 10.346
_cell_angle_alpha 90.00
_cell_angle_beta 90.00
_cell_angle_gamma 120.00
loop_
_atom_site_label
_atom_site_type_symbol
_atom_site_fract_x
_atom_site_fract_y
_atom_site_fract_z
_atom_site_occupancy
Mg1 Mg 0.333 0.667 0.250 1
Mg2 Mg 0.667 0.333 0.750 1
Mo1 Mo 0.333 0.667 0.750 1
Mo2 Mo 0.667 0.333 0.250 1
Pb1 Pb 0.000 0.000 0.000 1
Pb2 Pb 0.000 0.000 0.500 1
F1 F 0.028 0.370 0.144 1
F2 F 0.028 0.659 0.356 1
F3 F 0.341 0.370 0.356 1
F4 F 0.341 0.972 0.144 1
F5 F 0.370 0.028 0.644 1
F6 F 0.370 0.341 0.856 1
F7 F 0.630 0.659 0.144 1
F8 F 0.630 0.972 0.356 1
F9 F 0.659 0.028 0.856 1
F10 F 0.659 0.630 0.644 1
F11 F 0.972 0.341 0.644 1
F12 F 0.972 0.630 0.856 1
```

Summary:
The magnetization comes out at 4.000 μB per cell. The electronic total energy is -5.14 eV per atom.

---

(5)
Rb2Mg3MoF12: relaxed, PBE with a Hubbard U.

CIF file:
```
data_Rb2Mg3MoF12
_chemical_formula_sum 'Rb2 Mg3 Mo1 F12'
_space_group_name_H-M_alt 'P 1'
_space_group_IT_number 1
_space_group_name_Hall 'P 1'
_cell_length_a 7.598
_cell_length_b 7.598
_cell_length_c 7.598
_cell_angle_alpha 57.96
_cell_angle_beta 57.96
_cell_angle_gamma 57.96
loop_
_atom_site_label
_atom_site_type_symbol
_atom_site_fract_x
_atom_site_fract_y
_atom_site_fract_z
_atom_site_occupancy
Rb1 Rb 0.097 0.097 0.097 1
Rb2 Rb 0.903 0.903 0.903 1
Mg1 Mg 0.000 0.500 0.500 1
Mg2 Mg 0.500 0.000 0.500 1
Mg3 Mg 0.500 0.500 0.000 1
Mo1 Mo 0.500 0.500 0.500 1
F1 F 0.179 0.574 0.574 1
F2 F 0.186 0.186 0.576 1
F3 F 0.186 0.576 0.186 1
F4 F 0.424 0.814 0.814 1
F5 F 0.426 0.426 0.821 1
F6 F 0.426 0.821 0.426 1
F7 F 0.574 0.179 0.574 1
F8 F 0.574 0.574 0.179 1
F9 F 0.576 0.186 0.186 1
F10 F 0.814 0.424 0.814 1
F11 F 0.814 0.814 0.424 1
F12 F 0.821 0.426 0.426 1
```

Summary:
The magnetization comes out at 2.000 μB per cell. Its density of states at the Fermi level is 0.3793 states/eV/atom. The electronic total energy is -5.09 eV per atom.

---

(6)
RbMgMoF6: relaxed, PBE with a Hubbard U.

CIF file:
```
data_RbMgMoF6
_chemical_formula_sum 'Rb2 Mg2 Mo2 F12'
_space_group_name_H-M_alt 'P 1'
_space_group_IT_number 1
_space_group_name_Hall 'P 1'
_cell_length_a 7.589
_cell_length_b 7.589
_cell_length_c 7.589
_cell_angle_alpha 120.99
_cell_angle_beta 119.01
_cell_angle_gamma 90.01
loop_
_atom_site_label
_atom_site_type_symbol
_atom_site_fract_x
_atom_site_fract_y
_atom_site_fract_z
_atom_site_occupancy
Rb1 Rb 0.324 0.074 0.250 1
Rb2 Rb 0.676 0.926 0.750 1
Mg1 Mg 0.000 0.000 0.500 1
Mg2 Mg 0.000 0.500 0.000 1
Mo1 Mo 0.000 0.500 0.500 1
Mo2 Mo 0.500 0.500 0.000 1
F1 F 0.049 0.799 0.250 1
F2 F 0.056 0.408 0.225 1
F3 F 0.056 0.830 0.648 1
F4 F 0.318 0.170 0.725 1
F5 F 0.318 0.592 0.148 1
F6 F 0.333 0.583 0.750 1
F7 F 0.667 0.417 0.250 1
F8 F 0.682 0.408 0.852 1
F9 F 0.682 0.830 0.275 1
F10 F 0.944 0.170 0.352 1
F11 F 0.944 0.592 0.775 1
F12 F 0.951 0.201 0.750 1
```

Summary:
The magnetization comes out at 6.000 μB per cell. Its density of states at the Fermi level is 0.0000 states/eV/atom. The electronic total energy is -5.31 eV per atom.

---

(7)
MgMoSeF2: relaxed, PBE with a Hubbard U.

CIF file:
```
data_MgMoSeF2
_chemical_formula_sum 'Mg1 Mo1 Se1 F2'
_space_group_name_H-M_alt 'P 1'
_space_group_IT_number 1
_space_group_name_Hall 'P 1'
_cell_length_a 3.888
_cell_length_b 3.888
_cell_length_c 5.844
_cell_angle_alpha 90.00
_cell_angle_beta 90.00
_cell_angle_gamma 90.00
loop_
_atom_site_label
_atom_site_type_symbol
_atom_site_fract_x
_atom_site_fract_y
_atom_site_fract_z
_atom_site_occupancy
Mg1 Mg 0.000 0.000 0.000 1
Mo1 Mo 0.500 0.500 0.500 1
Se1 Se 0.000 0.000 0.500 1
F1 F 0.000 0.500 0.000 1
F2 F 0.500 0.000 0.000 1
```

Summary:
The magnetization comes out at 4.000 μB per cell. Its density of states at the Fermi level is 0.0000 states/eV/atom. The electronic total energy is -5.05 eV per atom.

---

(8)
MgSn2MoF: relaxed, PBE with a Hubbard U.

CIF file:
```
data_MgSn2MoF
_chemical_formula_sum 'Mg1 Sn2 Mo1 F1'
_space_group_name_H-M_alt 'P 1'
_space_group_IT_number 1
_space_group_name_Hall 'P 1'
_cell_length_a 5.463
_cell_length_b 5.463
_cell_length_c 3.778
_cell_angle_alpha 90.00
_cell_angle_beta 90.00
_cell_angle_gamma 90.00
loop_
_atom_site_label
_atom_site_type_symbol
_atom_site_fract_x
_atom_site_fract_y
_atom_site_fract_z
_atom_site_occupancy
Mg1 Mg 0.000 0.000 0.000 1
Sn1 Sn 0.000 0.500 0.500 1
Sn2 Sn 0.500 0.000 0.500 1
Mo1 Mo 0.500 0.500 0.000 1
F1 F 0.000 0.000 0.500 1
```

Summary:
The magnetization comes out at 3.851 μB per cell. Its density of states at the Fermi level is 0.3841 states/eV/atom. The electronic total energy is -4.01 eV per atom.

---

(9)
MgTl2MoF6: relaxed, PBE with a Hubbard U.

CIF file:
```
data_MgTl2MoF6
_chemical_formula_sum 'Mg1 Tl2 Mo1 F6'
_space_group_name_H-M_alt 'P 1'
_space_group_IT_number 1
_space_group_name_Hall 'P 1'
_cell_length_a 6.025
_cell_length_b 6.025
_cell_length_c 6.025
_cell_angle_alpha 121.20
_cell_angle_beta 117.38
_cell_angle_gamma 91.26
loop_
_atom_site_label
_atom_site_type_symbol
_atom_site_fract_x
_atom_site_fract_y
_atom_site_fract_z
_atom_site_occupancy
Mg1 Mg 0.000 0.000 0.000 1
Tl1 Tl 0.255 0.755 0.500 1
Tl2 Tl 0.745 0.245 0.500 1
Mo1 Mo 0.500 0.500 0.000 1
F1 F 0.226 0.246 0.472 1
F2 F 0.226 0.754 0.980 1
F3 F 0.241 0.241 0.000 1
F4 F 0.759 0.759 0.000 1
F5 F 0.774 0.246 0.020 1
F6 F 0.774 0.754 0.528 1
```

Summary:
The magnetization comes out at 2.000 μB per cell. The electronic total energy is -4.77 eV per atom.

---

(10)
Mg3Tl2MoF12: relaxed, PBE with a Hubbard U.

CIF file:
```
data_Mg3Tl2MoF12
_chemical_formula_sum 'Mg3 Tl2 Mo1 F12'
_space_group_name_H-M_alt 'P 1'
_space_group_IT_number 1
_space_group_name_Hall 'P 1'
_cell_length_a 7.619
_cell_length_b 7.619
_cell_length_c 7.619
_cell_angle_alpha 57.66
_cell_angle_beta 57.66
_cell_angle_gamma 57.66
loop_
_atom_site_label
_atom_site_type_symbol
_atom_site_fract_x
_atom_site_fract_y
_atom_site_fract_z
_atom_site_occupancy
Mg1 Mg 0.000 0.500 0.500 1
Mg2 Mg 0.500 0.000 0.500 1
Mg3 Mg 0.500 0.500 0.000 1
Tl1 Tl 0.090 0.090 0.090 1
Tl2 Tl 0.910 0.910 0.910 1
Mo1 Mo 0.500 0.500 0.500 1
F1 F 0.180 0.572 0.572 1
F2 F 0.184 0.184 0.578 1
F3 F 0.184 0.578 0.184 1
F4 F 0.422 0.816 0.816 1
F5 F 0.428 0.428 0.820 1
F6 F 0.428 0.820 0.428 1
F7 F 0.572 0.180 0.572 1
F8 F 0.572 0.572 0.180 1
F9 F 0.578 0.184 0.184 1
F10 F 0.816 0.422 0.816 1
F11 F 0.816 0.816 0.422 1
F12 F 0.820 0.428 0.428 1
```

Summary:
The magnetization comes out at 2.000 μB per cell. Its density of states at the Fermi level is 0.3908 states/eV/atom. The electronic total energy is -5.01 eV per atom.